(1)
Entry from Alexandria: crystalline Ag2OsPb at its relaxed geometry (PBE).

Properties
**DFT formation energy**: 0.728 eV/atom
**SG**: Cmm2 (35)
**DOS at the Fermi energy**: 0.719 states/eV per atom

Structure (POSCAR):
```
Ag2OsPb
1.0
1.565 -2.510 0.000
1.565 2.510 0.000
0.000 0.000 10.012
Ag Os Pb
2 1 1
Direct
0.000 0.000 0.000
0.500 0.500 0.235
0.000 0.000 0.465
0.500 0.500 0.708
```

(2)
Entry from Alexandria: crystalline NaLaNb3 at its relaxed geometry (PBE).

Properties
**Energy relative to the lowest polymorph listed for this composition**: 0 meV per atom
**DFT formation energy**: 1.723 eV/atom
**SG**: Pm-3m (221)
**DOS at the Fermi energy**: 0.771 states/eV per atom

Structure (POSCAR):
```
NaLaNb3
1.0
4.978 0.000 0.000
0.000 4.978 0.000
0.000 0.000 4.978
Na La Nb
1 1 3
Direct
0.000 0.000 0.000
0.500 0.500 0.500
0.000 0.500 0.500
0.500 0.000 0.500
0.500 0.500 0.000
```

(3)
Entry from Alexandria: crystalline Ba2UAu2S6 at its relaxed geometry (PBE).

Properties
**SG**: P-3 (147)
**Raw formation energy**: -11.66 eV per formula unit

Structure (POSCAR):
```
Ba2UAu2S6
1.0
7.420 0.000 0.000
-3.710 6.426 0.000
0.000 0.000 6.719
Ba U Au S
2 1 2 6
Direct
0.333 0.667 0.263
0.667 0.333 0.737
0.000 0.000 0.000
0.333 0.667 0.772
0.667 0.333 0.228
0.069 0.304 0.768
0.236 0.931 0.768
0.304 0.236 0.232
0.696 0.764 0.768
0.764 0.069 0.232
0.931 0.696 0.232
```

(4)
Entry from Alexandria: crystalline PtSe3Cl at its relaxed geometry (PBE).

Properties
**Energy relative to the lowest polymorph listed for this composition**: 0 meV per atom
**SG**: Pm-3m (221)
**DOS at the Fermi energy**: 1.623 states/eV per atom
**Raw formation energy**: 2.72 eV per formula unit

Structure (POSCAR):
```
PtSe3Cl
1.0
4.995 0.000 0.000
0.000 4.995 0.000
0.000 0.000 4.995
Pt Se Cl
1 3 1
Direct
0.000 0.000 0.000
0.000 0.000 0.500
0.000 0.500 0.000
0.500 0.000 0.000
0.500 0.500 0.500
```

(5)
Entry from Alexandria: crystalline Sr2CdTc at its relaxed geometry (PBE).

Properties
**DFT formation energy**: 0.412 eV/atom
**SG**: Amm2 (38)
**DOS at the Fermi energy**: 1.162 states/eV per atom

Structure (POSCAR):
```
Sr2CdTc
1.0
4.706 0.000 0.000
0.000 2.294 5.929
0.000 -2.294 5.929
Sr Cd Tc
2 1 1
Direct
0.000 0.000 0.000
0.500 0.286 0.286
0.000 0.704 0.704
0.500 0.585 0.585
```

(6)
Entry from Alexandria: crystalline RbHg3Pt at its relaxed geometry (PBE).

Properties
**Energy relative to the lowest polymorph listed for this composition**: 163 meV per atom
**DFT formation energy**: -0.119 eV/atom
**SG**: C2/m (12)
**DOS at the Fermi energy**: 0.386 states/eV per atom

Structure (POSCAR):
```
RbHg3Pt
1.0
7.378 -2.246 0.000
7.378 2.246 0.000
-3.468 0.000 9.311
Rb Hg Pt
2 6 2
Direct
0.119 0.119 0.358
0.881 0.881 0.642
0.089 0.089 0.974
0.235 0.235 0.760
0.424 0.424 0.351
0.576 0.576 0.649
0.765 0.765 0.240
0.911 0.911 0.026
0.302 0.302 0.070
0.698 0.698 0.930
```

(7)
Entry from Alexandria: crystalline ScNbNi at its relaxed geometry (PBE).

Properties
**Energy relative to the lowest polymorph listed for this composition**: 32 meV per atom
**DFT formation energy**: -0.140 eV/atom
**SG**: I4mm (107)
**DOS at the Fermi energy**: 0.977 states/eV per atom

Structure (POSCAR):
```
ScNbNi
1.0
-1.544 1.544 5.343
1.544 -1.544 5.343
1.544 1.544 -5.343
Sc Nb Ni
1 1 1
Direct
0.000 0.000 0.000
0.696 0.696 0.000
0.338 0.338 0.000
```

(8)
Entry from Alexandria: crystalline TbThCo4 at its relaxed geometry (PBE).

Properties
**Energy relative to the lowest polymorph listed for this composition**: 0 meV per atom
**DFT formation energy**: -0.196 eV/atom
**SG**: Pmmm (47)
**DOS at the Fermi energy**: 1.234 states/eV per atom

Structure (POSCAR):
```
TbThCo4
1.0
3.932 0.000 0.000
0.000 3.958 0.000
0.000 0.000 6.796
Tb Th Co
1 1 4
Direct
0.000 0.000 0.000
0.500 0.000 0.500
0.000 0.500 0.332
0.000 0.500 0.668
0.500 0.500 0.167
0.500 0.500 0.833
```

| no. | magnetic moment (μB per cell) |
| --- | --- |
| 1 | 0.832 |
| 2 | 0.000 |
| 3 | 0.000 |
| 4 | 0.000 |
| 5 | 1.688 |
| 6 | 0.000 |
| 7 | 0.000 |
| 8 | 1.596 |